Here is a geometry-optimized AcPrPd6 structure from Alexandria via LeMat-Bulk. Energies are from GGA-PBE.

Values from the calculation:
total magnetization: 0.0 μB per cell
formation energy: -716 meV per atom

a = 6.1198 Å, b = 6.1198 Å, c = 4.8419 Å
α = 90.00°, β = 90.00°, γ = 120.00°
Space group P-6m2 (No. 187)
Asymmetric unit:
Ac 0.0000 0.0000 0.0000
Pr 0.3333 0.6667 0.5000
Pd 0.3583 0.1792 0.5000
Pd 0.5097 0.0194 0.0000